No. 1
Below is crystalline ErAgTe4Pb2 at its relaxed geometry, with properties calculated at the PBE level.

Cell: 4.4659 7.8522 7.7489 Å, 70.36 90.00 90.00°
Last column: nearest neighbours and their distance in Å.
Element x y z (fractional)
Er: 0.0000 0.5000 0.5000  6 Te 3.08-3.09
Ag: 0.5000 0.5000 0.0000  6 Te 3.06-3.13
Te: 0.0000 0.7243 0.7597  2 Ag 3.06, 1 Er 3.09, 3 Pb 3.29-3.30
Te: 0.0000 0.2757 0.2403  2 Ag 3.06, 1 Er 3.09, 3 Pb 3.29-3.30
Te: 0.5000 0.7322 0.2590  2 Er 3.08, 1 Ag 3.13, 3 Pb 3.25-3.26
Te: 0.5000 0.2678 0.7410  2 Er 3.08, 1 Ag 3.13, 3 Pb 3.25-3.26
Pb: 0.0000 0.0000 0.0000  6 Te 3.26-3.30
Pb: 0.5000 0.0000 0.5000  6 Te 3.25-3.29

Computed properties:
Its uncorrected formation energy is -454 kJ/mol of formula units.

No. 2
Below is crystalline ErTiAgPb at its relaxed geometry, with properties calculated at the PBE level.

Cell: 5.0364 5.0364 5.0364 Å, 60.00 60.00 60.00°
Last column: nearest neighbours and their distance in Å.
Element x y z (fractional)
Pb: 0.7500 0.7500 0.7500  4 Ti 3.08, 4 Er 3.08
Ti: 0.5000 0.5000 0.5000  4 Pb 3.08, 4 Ag 3.08
Ag: 0.2500 0.2500 0.2500  4 Er 3.08, 4 Ti 3.08
Er: 0.0000 0.0000 0.0000  4 Ag 3.08, 4 Pb 3.08

Computed properties:
As for the formation energy: -0.1044 eV per atom.

No. 3
Below is crystalline ErTlAgPb at its relaxed geometry, with properties calculated at the PBE level.

Cell: 5.2295 5.2295 5.2295 Å, 60.00 60.00 60.00°
Last column: nearest neighbours and their distance in Å.
Element x y z (fractional)
Pb: 0.0000 0.0000 0.0000  4 Ag 3.20, 4 Er 3.20
Tl: 0.5000 0.5000 0.5000  4 Er 3.20, 4 Ag 3.20
Ag: 0.2500 0.2500 0.2500  4 Tl 3.20, 4 Pb 3.20
Er: 0.7500 0.7500 0.7500  4 Tl 3.20, 4 Pb 3.20

Computed properties:
As for the formation energy: -0.1035 eV per atom.

No. 4
Below is crystalline ErTlAgPb at its relaxed geometry, with properties calculated at the PBE level.

Cell: 4.4362 4.8340 4.6239 Å, 90.00 90.00 90.00°
Last column: nearest neighbours and their distance in Å.
Element x y z (fractional)
Er: 0.0000 0.5000 0.5000  4 Pb 3.20, 4 Tl 3.28, 4 Ag 3.34
Tl: 0.5000 0.0000 0.5000  4 Ag 3.20, 4 Er 3.28, 4 Pb 3.34
Ag: 0.0000 0.0000 0.0000  4 Tl 3.20, 4 Pb 3.28, 4 Er 3.34
Pb: 0.5000 0.5000 0.0000  4 Er 3.20, 4 Ag 3.28, 4 Tl 3.34

Computed properties:
As for the formation energy: -0.2180 eV per atom.

No. 5
Below is crystalline ErTmAgPb at its relaxed geometry, with properties calculated at the PBE level.

Cell: 5.2306 5.2306 5.2306 Å, 60.00 60.00 60.00°
Last column: nearest neighbours and their distance in Å.
Element x y z (fractional)
Pb: 0.7500 0.7500 0.7500  4 Er 3.20, 4 Tm 3.20
Tm: 0.5000 0.5000 0.5000  4 Pb 3.20, 4 Ag 3.20
Ag: 0.2500 0.2500 0.2500  4 Er 3.20, 4 Tm 3.20
Er: 0.0000 0.0000 0.0000  4 Ag 3.20, 4 Pb 3.20

Computed properties:
As for the formation energy: -0.3596 eV per atom.

No. 6
Below is crystalline YErAgPb at its relaxed geometry, with properties calculated at the PBE level.

Cell: 5.2656 5.2656 5.2656 Å, 60.00 60.00 60.00°
Last column: nearest neighbours and their distance in Å.
Element x y z (fractional)
Pb: 0.0000 0.0000 0.0000  4 Er 3.22, 4 Y 3.22
Y: 0.7500 0.7500 0.7500  4 Ag 3.22, 4 Pb 3.22
Ag: 0.5000 0.5000 0.5000  4 Y 3.22, 4 Er 3.22
Er: 0.2500 0.2500 0.2500  4 Pb 3.22, 4 Ag 3.22

Computed properties:
As for the formation energy: -0.3954 eV per atom.

No. 7
Below is crystalline Er2AgPd9 at its relaxed geometry, with properties calculated at the PBE level.

Cell: 4.0707 4.0707 12.2282 Å, 90.00 90.00 90.00°
Last column: nearest neighbours and their distance in Å.
Element x y z (fractional)
Er: 0.0000 0.0000 0.3295  12 Pd 2.88-2.91
Er: 0.0000 0.0000 0.6705  12 Pd 2.88-2.91
Ag: 0.0000 0.0000 0.0000  12 Pd 2.85-2.88
Pd: 0.5000 0.5000 0.0000  8 Pd 2.85, 4 Ag 2.88
Pd: 0.5000 0.5000 0.3316  4 Er 2.88, 8 Pd 2.90
Pd: 0.5000 0.5000 0.6684  4 Er 2.88, 8 Pd 2.90
Pd: 0.5000 0.0000 0.1627  8 Pd 2.85-2.90, 2 Ag 2.85, 2 Er 2.88
Pd: 0.5000 0.0000 0.5000  8 Pd 2.88-2.90, 4 Er 2.91
Pd: 0.5000 0.0000 0.8373  2 Ag 2.85, 8 Pd 2.85-2.90, 2 Er 2.88
Pd: 0.0000 0.5000 0.1627  2 Ag 2.85, 8 Pd 2.85-2.90, 2 Er 2.88
Pd: 0.0000 0.5000 0.5000  8 Pd 2.88-2.90, 4 Er 2.91
Pd: 0.0000 0.5000 0.8373  8 Pd 2.85-2.90, 2 Ag 2.85, 2 Er 2.88

Computed properties:
As for the formation energy: -0.5920 eV per atom.

No. 8
Below is crystalline ErAgPd at its relaxed geometry, with properties calculated at the PBE level.

Cell: 3.3304 4.6422 4.6422 Å, 120.00 90.00 90.00°
Last column: nearest neighbours and their distance in Å.
Element x y z (fractional)
Pd: 0.1698 0.3333 0.6667  3 Ag 2.68
Ag: 0.1641 0.0000 0.0000  3 Pd 2.68
Er: 0.6661 0.6667 0.3333  6 Pd 3.15-3.16, 6 Ag 3.15-3.16, 2 Er 3.33

Computed properties:
As for the formation energy: -0.5005 eV per atom.

No. 9
Below is crystalline Er3AgPd5 at its relaxed geometry, with properties calculated at the PBE level.

Cell: 5.6975 8.3828 8.3839 Å, 120.00 90.00 90.00°
Last column: nearest neighbours and their distance in Å.
Element x y z (fractional)
Er: 0.7500 0.3568 0.3568  9 Pd 2.77-3.05
Er: 0.7500 0.9999 0.6432  9 Pd 2.77-3.05
Er: 0.7500 0.6431 0.0000  9 Pd 2.77-3.05
Er: 0.2500 0.6432 0.6432  9 Pd 2.77-3.05
Er: 0.2500 0.0001 0.3568  9 Pd 2.77-3.05
Er: 0.2500 0.3569 0.0000  9 Pd 2.77-3.05
Ag: 0.0000 0.0000 0.0000  2 Ag 2.85, 6 Pd 2.98
Ag: 0.5000 0.0000 0.0000  2 Ag 2.85, 6 Pd 2.98
Pd: 0.0000 0.6667 0.3333  2 Pd 2.85, 6 Er 3.05
Pd: 0.5000 0.3333 0.6667  2 Pd 2.85, 6 Er 3.05
Pd: 0.0000 0.3333 0.6667  2 Pd 2.85, 6 Er 3.05
Pd: 0.5000 0.6667 0.3333  2 Pd 2.85, 6 Er 3.05
Pd: 0.7500 0.6876 0.6877  5 Er 2.77-2.87, 2 Ag 2.98
Pd: 0.7500 0.9999 0.3123  5 Er 2.77-2.87, 2 Ag 2.98
Pd: 0.7500 0.3123 0.0000  5 Er 2.77-2.87, 2 Ag 2.98
Pd: 0.2500 0.3124 0.3123  5 Er 2.77-2.87, 2 Ag 2.98
Pd: 0.2500 0.0001 0.6877  5 Er 2.77-2.87, 2 Ag 2.98
Pd: 0.2500 0.6877 0.0000  5 Er 2.77-2.87, 2 Ag 2.98

Computed properties:
As for the formation energy: -0.8129 eV per atom.

No. 10
Below is crystalline ErAgPd6 at its relaxed geometry, with properties calculated at the PBE level.

Cell: 5.4267 5.4267 5.4267 Å, 84.66 84.66 84.66°
Last column: nearest neighbours and their distance in Å.
Element x y z (fractional)
Er: 0.0000 0.0000 0.0000  6 Pd 2.70
Ag: 0.5000 0.5000 0.5000  6 Pd 2.71
Pd: 0.1606 0.5324 0.1606  5 Pd 2.64-2.83, 1 Er 2.70, 1 Ag 2.71
Pd: 0.1606 0.1606 0.5324  5 Pd 2.64-2.83, 1 Er 2.70, 1 Ag 2.71
Pd: 0.8394 0.4676 0.8394  5 Pd 2.64-2.83, 1 Er 2.70, 1 Ag 2.71
Pd: 0.4676 0.8394 0.8394  5 Pd 2.64-2.83, 1 Er 2.70, 1 Ag 2.71
Pd: 0.8394 0.8394 0.4676  5 Pd 2.64-2.83, 1 Er 2.70, 1 Ag 2.71
Pd: 0.5324 0.1606 0.1606  5 Pd 2.64-2.83, 1 Er 2.70, 1 Ag 2.71

Computed properties:
As for the formation energy: 0.0316 eV per atom.

No. 11
Below is crystalline Er8Ag2Pd at its relaxed geometry, with properties calculated at the PBE level.

Cell: 5.1597 6.7980 9.0704 Å, 106.34 106.52 90.00°
Last column: nearest neighbours and their distance in Å.
Element x y z (fractional)
Er: 0.4088 0.5569 0.8176  1 Pd 2.96
Er: 0.6621 0.9707 0.3242  3 Ag 2.87-3.18, 1 Pd 2.88
Er: 0.8001 0.6879 0.6001  1 Ag 2.86
Er: 0.9726 0.2180 0.9451  1 Ag 2.88, 2 Pd 3.08
Er: 0.1999 0.3121 0.3999  1 Ag 2.86
Er: 0.3379 0.0293 0.6758  3 Ag 2.87-3.18, 1 Pd 2.88
Er: 0.5912 0.4431 0.1824  1 Pd 2.96
Er: 0.0274 0.7820 0.0549  1 Ag 2.88, 2 Pd 3.08
Ag: 0.8155 0.2800 0.6310  5 Er 2.86-3.18
Ag: 0.1845 0.7200 0.3690  5 Er 2.86-3.18
Pd: 0.5000 0.0000 0.0000  8 Er 2.88-3.08

Computed properties:
As for the formation energy: -0.2492 eV per atom.

No. 12
Below is crystalline ErAg2Pd8 at its relaxed geometry, with properties calculated at the PBE level.

Cell: 4.0642 6.3909 7.5403 Å, 104.81 105.63 90.00°
Last column: nearest neighbours and their distance in Å.
Element x y z (fractional)
Er: 0.5000 0.0000 0.0000  12 Pd 2.86-2.89
Ag: 0.7723 0.3615 0.5447  10 Pd 2.83-2.88, 2 Ag 2.88
Ag: 0.2277 0.6385 0.4553  10 Pd 2.83-2.88, 2 Ag 2.88
Pd: 0.4103 0.5416 0.8206  8 Pd 2.79-2.89, 3 Ag 2.87-2.88, 1 Er 2.87
Pd: 0.6825 0.9091 0.3650  8 Pd 2.84-2.87, 3 Ag 2.84-2.86, 1 Er 2.86
Pd: 0.8635 0.8176 0.7271  7 Pd 2.84-2.89, 3 Ag 2.85-2.86, 2 Er 2.86
Pd: 0.9540 0.2767 0.9080  9 Pd 2.81-2.88, 1 Ag 2.83, 2 Er 2.89
Pd: 0.1365 0.1824 0.2729  7 Pd 2.84-2.89, 3 Ag 2.85-2.86, 2 Er 2.86
Pd: 0.3175 0.0909 0.6350  8 Pd 2.84-2.87, 3 Ag 2.84-2.86, 1 Er 2.86
Pd: 0.5897 0.4584 0.1794  8 Pd 2.79-2.89, 3 Ag 2.87-2.88, 1 Er 2.87
Pd: 0.0460 0.7233 0.0921  9 Pd 2.81-2.88, 1 Ag 2.83, 2 Er 2.89

Computed properties:
As for the formation energy: -0.3382 eV per atom.

No. 13
Below is crystalline Er7AgPd4 at its relaxed geometry, with properties calculated at the PBE level.

Cell: 5.4006 8.3165 7.5008 Å, 74.05 68.90 71.05°
Last column: nearest neighbours and their distance in Å.
Element x y z (fractional)
Er: 0.7836 0.8824 0.5503  4 Pd 2.92-3.20, 1 Er 3.20
Er: 0.2164 0.1176 0.4497  4 Pd 2.92-3.20, 1 Er 3.20
Er: 0.0657 0.6295 0.2392  3 Pd 2.77-3.09, 1 Ag 3.09
Er: 0.9343 0.3705 0.7608  3 Pd 2.77-3.09, 1 Ag 3.09
Er: 0.2945 0.6542 0.7568  4 Pd 2.74-3.01
Er: 0.5000 0.0000 0.0000  2 Ag 2.70, 4 Pd 2.82-2.85
Er: 0.7055 0.3458 0.2432  4 Pd 2.74-3.01
Ag: 0.0000 0.0000 0.0000  2 Er 2.70
Pd: 0.5657 0.2316 0.6370  3 Er 2.74-2.92
Pd: 0.4343 0.7684 0.3630  3 Er 2.74-2.92
Pd: 0.7000 0.6523 0.9477  6 Er 2.77-3.03
Pd: 0.3000 0.3477 0.0523  6 Er 2.77-3.03

Computed properties:
As for the formation energy: -0.4713 eV per atom.